[1]
Density functional theory data (PBE) for an optimized crystal structure of KZnHg4.

a b c (Å): 6.3288 6.3288 6.3288
angles (deg): 60.00 60.00 60.00
Fractional positions:
K 0.0000 0.0000 0.0000
Zn 0.7500 0.7500 0.7500
Hg 0.3755 0.3755 0.3755
Hg 0.3755 0.3755 0.8736
Hg 0.3755 0.8736 0.3755
Hg 0.8736 0.3755 0.3755

Results
Space-group type   F-43m
DFT formation energy   -15 meV per atom
Total energy   -3.7 eV for the cell shown
Energy relative to the lowest polymorph listed for this composition   0.54 eV per formula unit

---

[2]
Density functional theory data (PBE) for an optimized crystal structure of K2ZnHg.

a b c (Å): 6.7377 6.7377 5.8411
angles (deg): 115.57 115.57 38.04
Fractional positions:
K 0.0000 0.0000 0.0000
K 0.2004 0.2004 0.7002
Zn 0.7787 0.7787 0.2785
Hg 0.4229 0.4229 0.4224

Results
Space-group type   Cm
DFT formation energy   -70 meV per atom
Total energy   -4.1 eV for the cell shown
Energy relative to the lowest polymorph listed for this composition   0.07 eV per formula unit

---

[3]
Density functional theory data (PBE) for an optimized crystal structure of K2Zn2Hg.

a b c (Å): 10.0578 10.0578 3.4976
angles (deg): 90.00 90.00 90.00
Fractional positions:
K 0.1979 0.3021 0.0000
K 0.3021 0.8021 0.0000
K 0.6979 0.1979 0.0000
K 0.8021 0.6979 0.0000
Zn 0.0913 0.5913 0.5000
Zn 0.4087 0.0913 0.5000
Zn 0.5913 0.9087 0.5000
Zn 0.9087 0.4087 0.5000
Hg 0.0000 0.0000 0.0000
Hg 0.5000 0.5000 0.0000

Results
Space-group type   P4/mbm
DFT formation energy   127 meV per atom
Total energy   -8.8 eV for the cell shown
Energy relative to the lowest polymorph listed for this composition   0.62 eV per formula unit

---

[4]
Density functional theory data (PBE) for an optimized crystal structure of KZn2Hg2.

a b c (Å): 6.2473 6.2473 6.2473
angles (deg): 132.50 132.50 69.45
Fractional positions:
K 0.0000 0.0000 0.0000
Zn 0.3755 0.3755 0.0000
Zn 0.6245 0.6245 0.0000
Hg 0.2500 0.7500 0.5000
Hg 0.7500 0.2500 0.5000

Results
Space-group type   I4/mmm
DFT formation energy   -72 meV per atom
Total energy   -4.6 eV for the cell shown
Energy relative to the lowest polymorph listed for this composition   0.00 eV per formula unit

---

[5]
Density functional theory data (PBE) for an optimized crystal structure of K2ZnHg.

a b c (Å): 10.3253 10.3253 10.3253
angles (deg): 24.52 24.52 24.52
Fractional positions:
K 0.2485 0.2485 0.2485
K 0.7515 0.7515 0.7515
Zn 0.5000 0.5000 0.5000
Hg 0.0000 0.0000 0.0000

Results
Space-group type   R-3m
DFT formation energy   89 meV per atom
Total energy   -3.4 eV for the cell shown
Energy relative to the lowest polymorph listed for this composition   0.70 eV per formula unit

---

[6]
Density functional theory data (PBE) for an optimized crystal structure of K2ZnHg12.

a b c (Å): 7.0492 7.0492 18.1698
angles (deg): 90.00 90.00 90.00
Fractional positions:
K 0.2500 0.7500 0.2442
K 0.2500 0.7500 0.7558
K 0.7500 0.2500 0.2442
K 0.7500 0.2500 0.7558
Zn 0.2500 0.7500 0.0000
Zn 0.7500 0.2500 0.0000
Hg 0.0002 0.9998 0.0844
Hg 0.9998 0.0002 0.9156
Hg 0.9998 0.4998 0.0844
Hg 0.0002 0.5002 0.9156
Hg 0.0924 0.5924 0.4321
Hg 0.0924 0.9076 0.5679
Hg 0.2500 0.2500 0.1835
Hg 0.2500 0.2500 0.3476
Hg 0.2500 0.2500 0.6524
Hg 0.2500 0.2500 0.8165
Hg 0.4076 0.5924 0.5679
Hg 0.4076 0.9076 0.4321
Hg 0.5002 0.0002 0.0844
Hg 0.4998 0.9998 0.9156
Hg 0.4998 0.5002 0.0844
Hg 0.5002 0.4998 0.9156
Hg 0.5924 0.0924 0.5679
Hg 0.5924 0.4076 0.4321
Hg 0.7500 0.7500 0.1835
Hg 0.7500 0.7500 0.3476
Hg 0.7500 0.7500 0.6524
Hg 0.7500 0.7500 0.8165
Hg 0.9076 0.0924 0.4321
Hg 0.9076 0.4076 0.5679

Results
Space-group type   P4/nbm
DFT formation energy   -100 meV per atom
Total energy   -17.2 eV for the cell shown

---

[7]
Density functional theory data (PBE) for an optimized crystal structure of KZnHg4.

a b c (Å): 9.4035 9.4035 5.4535
angles (deg): 103.38 103.38 47.25
Fractional positions:
K 0.2119 0.2119 0.1755
K 0.7881 0.7881 0.8245
Zn 0.4681 0.4681 0.2518
Zn 0.5319 0.5319 0.7482
Hg 0.0902 0.6867 0.4097
Hg 0.1894 0.8106 0.0000
Hg 0.3133 0.9098 0.5903
Hg 0.3413 0.3413 0.7806
Hg 0.6587 0.6587 0.2194
Hg 0.6867 0.0902 0.4097
Hg 0.8106 0.1894 0.0000
Hg 0.9098 0.3133 0.5903

Results
Space-group type   C2/m
DFT formation energy   -104 meV per atom
Total energy   -8.4 eV for the cell shown
Energy relative to the lowest polymorph listed for this composition   0.00 eV per formula unit

---

[8]
Density functional theory data (PBE) for an optimized crystal structure of KZnHg.

a b c (Å): 9.1983 9.1983 9.1983
angles (deg): 110.58 89.73 130.79
Fractional positions:
K 0.0001 0.2500 0.2501
K 0.9999 0.7500 0.7499
K 0.4408 0.4094 0.5314
K 0.4412 0.9103 0.0309
K 0.8780 0.9094 0.4686
K 0.8794 0.4103 0.9691
Zn 0.2258 0.3312 0.8940
Zn 0.2258 0.8318 0.3946
Zn 0.4372 0.3318 0.1060
Zn 0.4372 0.8312 0.6054
Zn 0.6505 0.1505 0.5000
Zn 0.6505 0.6505 0.0000
Hg 0.1072 0.4398 0.6674
Hg 0.1072 0.9398 0.1674
Hg 0.4338 0.6842 0.2496
Hg 0.4347 0.1842 0.7504
Hg 0.7724 0.4398 0.3326
Hg 0.7724 0.9398 0.8326

Results
Space-group type   Ima2
DFT formation energy   -45 meV per atom
Total energy   -16.8 eV for the cell shown
Energy relative to the lowest polymorph listed for this composition   0.08 eV per formula unit

---

[9]
Density functional theory data (PBE) for an optimized crystal structure of KZn2Hg2.

a b c (Å): 8.4563 8.4563 3.4366
angles (deg): 90.00 90.00 90.00
Fractional positions:
K 0.0000 0.0000 0.0000
K 0.5000 0.5000 0.0000
Zn 0.1102 0.3898 0.0000
Zn 0.3898 0.8898 0.0000
Zn 0.6102 0.1102 0.0000
Zn 0.8898 0.6102 0.0000
Hg 0.1829 0.6829 0.5000
Hg 0.3171 0.1829 0.5000
Hg 0.6829 0.8171 0.5000
Hg 0.8171 0.3171 0.5000

Results
Space-group type   P4/mbm
DFT formation energy   -4 meV per atom
Total energy   -8.5 eV for the cell shown
Energy relative to the lowest polymorph listed for this composition   0.34 eV per formula unit

---

[10]
Density functional theory data (PBE) for an optimized crystal structure of K4Zn2Hg.

a b c (Å): 9.4204 9.4204 9.4204
angles (deg): 138.47 138.47 60.18
Fractional positions:
K 0.0000 0.5000 0.5000
K 0.2138 0.2138 0.0000
K 0.5000 0.0000 0.5000
K 0.7862 0.7862 0.0000
Zn 0.4206 0.4206 0.0000
Zn 0.5794 0.5794 0.0000
Hg 0.0000 0.0000 0.0000

Results
Space-group type   I4/mmm
DFT formation energy   114 meV per atom
Total energy   -6.4 eV for the cell shown

---

[11]
Density functional theory data (PBE) for an optimized crystal structure of K2Zn2Hg.

a b c (Å): 6.1200 6.1200 6.1200
angles (deg): 113.60 113.60 101.49
Fractional positions:
K 0.2500 0.7500 0.5000
K 0.7500 0.2500 0.5000
Zn 0.1579 0.1579 0.0000
Zn 0.8421 0.8421 0.0000
Hg 0.5000 0.5000 0.0000

Results
Space-group type   I4/mmm
DFT formation energy   62 meV per atom
Total energy   -4.7 eV for the cell shown
Energy relative to the lowest polymorph listed for this composition   0.29 eV per formula unit

---

[12]
Density functional theory data (PBE) for an optimized crystal structure of K2ZnHg.

a b c (Å): 5.0772 4.9352 6.6780
angles (deg): 90.00 112.23 90.00
Fractional positions:
K 0.0000 0.0000 0.0000
K 0.2974 0.5000 0.5958
Zn 0.6984 0.0000 0.3983
Hg 0.5973 0.5000 0.1941

Results
Space-group type   Pm
DFT formation energy   -87 meV per atom
Total energy   -4.1 eV for the cell shown
Energy relative to the lowest polymorph listed for this composition   0.00 eV per formula unit

---

[13]
Density functional theory data (PBE) for an optimized crystal structure of KZnHg14.

a b c (Å): 10.6568 7.3876 7.3876
angles (deg): 52.55 90.00 90.00
Fractional positions:
K 0.0000 0.0000 0.0000
Zn 0.0000 0.4203 0.4203
Hg 0.0000 0.4980 0.9893
Hg 0.0000 0.9893 0.4980
Hg 0.1942 0.5962 0.5962
Hg 0.2614 0.1523 0.1523
Hg 0.2631 0.1321 0.6374
Hg 0.2631 0.6374 0.1321
Hg 0.5000 0.4940 0.9770
Hg 0.5000 0.5188 0.5188
Hg 0.5000 0.9770 0.4940
Hg 0.5000 0.9924 0.9924
Hg 0.7369 0.1321 0.6374
Hg 0.7369 0.6374 0.1321
Hg 0.7386 0.1523 0.1523
Hg 0.8058 0.5962 0.5962

Results
Space-group type   Amm2
DFT formation energy   -36 meV per atom
Total energy   -7.2 eV for the cell shown

---

[14]
Density functional theory data (PBE) for an optimized crystal structure of K2ZnHg2.

a b c (Å): 9.8411 9.8411 4.0352
angles (deg): 90.00 90.00 90.00
Fractional positions:
K 0.1838 0.3162 0.0000
K 0.3162 0.8162 0.0000
K 0.6838 0.1838 0.0000
K 0.8162 0.6838 0.0000
Zn 0.0000 0.0000 0.0000
Zn 0.5000 0.5000 0.0000
Hg 0.1098 0.6098 0.5000
Hg 0.3902 0.1098 0.5000
Hg 0.6098 0.8902 0.5000
Hg 0.8902 0.3902 0.5000

Results
Space-group type   P4/mbm
DFT formation energy   5 meV per atom
Total energy   -8.1 eV for the cell shown
Energy relative to the lowest polymorph listed for this composition   0.80 eV per formula unit

---

[15]
Density functional theory data (PBE) for an optimized crystal structure of K2ZnHg4.

a b c (Å): 9.5442 9.5442 9.5442
angles (deg): 147.34 147.34 46.86
Fractional positions:
K 0.1405 0.1405 0.0000
K 0.8595 0.8595 0.0000
Zn 0.5000 0.5000 0.0000
Hg 0.0000 0.5000 0.5000
Hg 0.3413 0.3413 0.0000
Hg 0.5000 0.0000 0.5000
Hg 0.6587 0.6587 0.0000

Results
Space-group type   I4/mmm
DFT formation energy   -110 meV per atom
Total energy   -5.4 eV for the cell shown

---

[16]
Density functional theory data (PBE) for an optimized crystal structure of K2ZnHg2.

a b c (Å): 10.2449 10.2449 10.2449
angles (deg): 155.05 155.05 35.58
Fractional positions:
K 0.1050 0.1050 0.0000
K 0.8950 0.8950 0.0000
Zn 0.5000 0.5000 0.0000
Hg 0.2500 0.7500 0.5000
Hg 0.7500 0.2500 0.5000

Results
Space-group type   I4/mmm
DFT formation energy   -23 meV per atom
Total energy   -4.2 eV for the cell shown
Energy relative to the lowest polymorph listed for this composition   0.66 eV per formula unit

---

[17]
Density functional theory data (PBE) for an optimized crystal structure of KZn2Hg2.

a b c (Å): 6.7356 6.7356 6.7356
angles (deg): 138.58 138.58 60.02
Fractional positions:
K 0.0000 0.0000 0.0000
Zn 0.2500 0.7500 0.5000
Zn 0.7500 0.2500 0.5000
Hg 0.3718 0.3718 0.0000
Hg 0.6282 0.6282 0.0000

Results
Space-group type   I4/mmm
DFT formation energy   -71 meV per atom
Total energy   -4.6 eV for the cell shown
Energy relative to the lowest polymorph listed for this composition   0.00 eV per formula unit

---

[18]
Density functional theory data (PBE) for an optimized crystal structure of K8ZnHg2.

a b c (Å): 10.6563 10.6563 10.6563
angles (deg): 147.71 121.62 68.31
Fractional positions:
K 0.1221 0.3390 0.7831
K 0.1368 0.1368 0.0000
K 0.3185 0.0000 0.3185
K 0.4442 0.6610 0.7831
K 0.5558 0.3390 0.2169
K 0.6815 0.0000 0.6815
K 0.8632 0.8632 0.0000
K 0.8779 0.6610 0.2169
Zn 0.0000 0.5000 0.5000
Hg 0.3071 0.8071 0.5000
Hg 0.6929 0.1929 0.5000

Results
Space-group type   Immm
DFT formation energy   -30 meV per atom
Total energy   -11.0 eV for the cell shown

---

[19]
Density functional theory data (PBE) for an optimized crystal structure of K2ZnHg.

a b c (Å): 3.9929 3.9929 9.6564
angles (deg): 90.00 90.00 90.24
Fractional positions:
K 0.0000 0.0000 0.0000
K 0.5000 0.5000 0.4065
Zn 0.5000 0.5000 0.7527
Hg 0.0000 0.0000 0.6504

Results
Space-group type   Cmm2
DFT formation energy   -22 meV per atom
Total energy   -3.9 eV for the cell shown
Energy relative to the lowest polymorph listed for this composition   0.26 eV per formula unit

---

[20]
Density functional theory data (PBE) for an optimized crystal structure of KZnHg.

a b c (Å): 4.8183 4.8183 4.6794
angles (deg): 90.00 90.00 120.00
Fractional positions:
K 0.0000 0.0000 0.0000
Zn 0.6667 0.3333 0.5000
Hg 0.3333 0.6667 0.5000

Results
Space-group type   P-6m2
DFT formation energy   -72 meV per atom
Total energy   -2.9 eV for the cell shown
Energy relative to the lowest polymorph listed for this composition   0.00 eV per formula unit

---

[21]
Density functional theory data (PBE) for an optimized crystal structure of K2ZnHg2.

a b c (Å): 6.3875 6.3875 6.3875
angles (deg): 115.83 115.83 97.39
Fractional positions:
K 0.2500 0.7500 0.5000
K 0.7500 0.2500 0.5000
Zn 0.0000 0.0000 0.0000
Hg 0.3281 0.3281 0.0000
Hg 0.6719 0.6719 0.0000

Results
Space-group type   I4/mmm
DFT formation energy   -45 meV per atom
Total energy   -4.3 eV for the cell shown
Energy relative to the lowest polymorph listed for this composition   0.55 eV per formula unit